## Hf3ReN (PBE)

Data for crystalline Hf3ReN at its relaxed geometry.

a b c (Å): 4.998 4.998 4.998
angles (deg): 90.00 90.00 90.00
Positions (direct):
Hf: 0.500 0.000 0.000
Hf: 0.000 0.000 0.500
Hf: 0.000 0.500 0.000
N: 0.500 0.500 0.500
Re: 0.000 0.000 0.000

The total magnetization is 0.00 μB/cell. For the mass density, the calculation gives 9.79 g/cm3. The raw formation energy is 1561 meV per atom. Its total energy is -42.83 eV/cell. As for the energy above the most stable polymorph in this dataset: 2.262 eV per atom. The volume is 125 Å³ per cell.